# Pm3Cd8Ag3

A relaxed structure of Pm3Cd8Ag3 (PBE, the Alexandria database).

POSCAR file:
```
Pm3Cd8Ag3
1.0
4.762 0.000 1.258
1.881 8.176 2.522
0.238 0.575 8.738
Ag Pm Cd
3 3 8
direct
0.500 0.000 0.000
0.000 0.848 0.152
0.000 0.152 0.848
0.212 0.788 0.788
0.788 0.212 0.212
0.500 0.500 0.500
0.362 0.350 0.926
0.854 0.506 0.785
0.146 0.494 0.215
0.854 0.785 0.506
0.362 0.926 0.350
0.638 0.074 0.650
0.146 0.215 0.494
0.638 0.650 0.074
```

Computed properties:
Electronic total energy: -33.4 eV for the cell shown
ΔH_f (0 K): -0.231 eV/atom

=====

# GaSb2Pd2Pt7

A relaxed structure of GaSb2Pd2Pt7 (PBE, the Alexandria database).

POSCAR file:
```
GaSb2Pd2Pt7
1.0
-2.100 -3.036 -1.433
1.358 -2.386 2.854
-10.693 -2.088 8.943
Pt Pd Ga Sb
7 2 1 2
direct
0.150 0.650 0.850
0.850 0.350 0.150
0.237 0.237 0.500
0.500 0.500 0.000
0.650 0.150 0.850
0.763 0.763 0.500
0.350 0.850 0.150
0.193 0.193 0.307
0.807 0.807 0.693
0.000 0.000 0.000
0.326 0.326 0.674
0.674 0.674 0.326
```

Computed properties:
Electronic total energy: -67.5 eV for the cell shown
E_form (uncorrected): -297 meV per atom

=====

> electronic total energy of number 1 (Pm3Cd8Ag3)?

-33.4 eV for the cell shown

=====

> What is the formula in the first record?

Pm3Cd8Ag3

=====

What did the first record say?
# Pm3Cd8Ag3

A relaxed structure of Pm3Cd8Ag3 (PBE, the Alexandria database).

POSCAR file:
```
Pm3Cd8Ag3
1.0
4.762 0.000 1.258
1.881 8.176 2.522
0.238 0.575 8.738
Ag Pm Cd
3 3 8
direct
0.500 0.000 0.000
0.000 0.848 0.152
0.000 0.152 0.848
0.212 0.788 0.788
0.788 0.212 0.212
0.500 0.500 0.500
0.362 0.350 0.926
0.854 0.506 0.785
0.146 0.494 0.215
0.854 0.785 0.506
0.362 0.926 0.350
0.638 0.074 0.650
0.146 0.215 0.494
0.638 0.650 0.074
```

Computed properties:
Electronic total energy: -33.4 eV for the cell shown
ΔH_f (0 K): -0.231 eV/atom

=====

> What is the formula in the second record?

GaSb2Pd2Pt7